The following is a PBE calculation of crystalline Mn2BeAs at its relaxed geometry, from Alexandria.

```
Mn2BeAs
1.0
2.909 0.000 0.000
0.000 2.909 0.000
0.000 0.000 5.191
Mn Be As
2 1 1
Direct
0.000 0.000 0.000
0.500 0.500 0.285
0.500 0.500 0.808
0.000 0.000 0.535
```

Computed properties:
formation energy from the elements: 0.003 eV per atom
size of the total moment: 0.3 μB/f.u.
E above lowest polymorph: 45 meV/atom
E: -6.676 eV per atom